# TlTcBi

TlTcBi after structural relaxation (PBE, OQMD via LeMat-Bulk).

## Properties
Crystal system: cubic
E above lowest polymorph: 0.0 meV/atom
Space group: F-43m, No. 216

Cell lengths 4.7169, 4.7169, 4.7169 Å; angles 60.00, 60.00, 60.00 degrees
Atoms (fractional coordinates):
Tc  0.0000  0.0000  0.0000
Bi  0.2500  0.2500  0.2500
Tl  0.7500  0.7500  0.7500